Entry 1:
Material: Si5Ir
Method: DFT, GGA-PBE
State: optimized geometry

a b c (Å): 4.5019 4.5019 4.8338
angles (deg): 90.00 90.00 120.00
Closest atoms and distances in Å follow each position.
Fractional coordinates of all 6 atoms:
Si1 0.6729 0.0000 0.0000  10 Si 2.55-2.85, 2 Ir 2.83
Si2 0.3271 0.3271 0.0000  10 Si 2.55-2.85, 2 Ir 2.83
Si3 0.0000 0.6729 0.0000  10 Si 2.55-2.85, 2 Ir 2.83
Si4 0.6667 0.3333 0.5000  9 Si 2.60-2.85, 3 Ir 2.60
Si5 0.3333 0.6667 0.5000  9 Si 2.60-2.85, 3 Ir 2.60
Ir1 0.0000 0.0000 0.5000  12 Si 2.60-2.83

Symmetry: No. 189
Formation energy without anion corrections in meV/atom: 308
Offset from the most stable computed form in meV per atom: 245.4

---

Entry 2:
Material: ScTeOs2
Method: DFT, GGA-PBE
State: optimized geometry

a b c (Å): 5.2882 5.2882 4.7680
angles (deg): 70.52 70.52 34.50
Closest atoms and distances in Å follow each position.
Fractional coordinates of all 4 atoms:
Os1 0.0039 0.0039 0.9397  2 Os 2.66, 2 Sc 2.70, 2 Te 2.80
Os2 0.7297 0.7297 0.8237  2 Os 2.66, 2 Te 2.72
Sc1 0.4974 0.4974 0.4832  4 Os 2.70-3.01, 3 Te 2.88-3.01
Te1 0.2689 0.2689 0.2533  4 Os 2.72-2.80, 3 Sc 2.88-3.01

Symmetry: No. 8
Formation energy without anion corrections in meV/atom: 150

---

Entry 3:
Material: La5Pr3In2
Method: DFT, GGA-PBE
State: optimized geometry

a b c (Å): 6.7232 11.9168 11.9168
angles (deg): 86.68 59.78 59.78
Closest atoms and distances in Å follow each position.
Fractional coordinates of all 20 atoms:
La1 0.2500 0.5324 0.4676  10 La 3.37-3.72
La2 0.7500 0.4676 0.5324  10 La 3.37-3.72
La3 0.5742 0.7832 0.6858  1 In 3.26, 3 La 3.42-3.63, 1 Pr 3.57
La4 0.9258 0.3142 0.2168  1 In 3.26, 3 La 3.42-3.63, 1 Pr 3.57
La5 0.4258 0.2168 0.3142  1 In 3.26, 3 La 3.42-3.63, 1 Pr 3.57
La6 0.0742 0.6858 0.7832  1 In 3.26, 3 La 3.42-3.63, 1 Pr 3.57
La7 0.1611 0.5303 0.2134  2 In 3.25-3.37, 2 La 3.37-3.63
La8 0.8389 0.4697 0.7866  2 In 3.25-3.37, 2 La 3.37-3.63
La9 0.6611 0.2134 0.5303  2 In 3.25-3.37, 2 La 3.37-3.63
La10 0.3389 0.7866 0.4697  2 In 3.25-3.37, 2 La 3.37-3.63
Pr1 0.2500 0.9750 0.0250  4 In 3.25-3.47, 2 Pr 3.46
Pr2 0.7500 0.0250 0.9750  4 In 3.25-3.47, 2 Pr 3.46
Pr3 0.3406 0.3393 0.8913  3 In 3.43-3.65, 3 La 3.57-3.75, 2 Pr 3.73-3.82
Pr4 0.6594 0.6607 0.1087  3 In 3.43-3.65, 3 La 3.57-3.75, 2 Pr 3.73-3.82
Pr5 0.8406 0.8913 0.3393  3 In 3.43-3.65, 3 La 3.57-3.75, 2 Pr 3.73-3.82
Pr6 0.1594 0.1087 0.6607  3 In 3.43-3.65, 3 La 3.57-3.75, 2 Pr 3.73-3.82
In1 0.1848 0.7250 0.0107  4 Pr 3.25-3.59, 3 La 3.25-3.37
In2 0.8152 0.2750 0.9893  4 Pr 3.25-3.59, 3 La 3.25-3.37
In3 0.6848 0.0107 0.7250  4 Pr 3.25-3.59, 3 La 3.25-3.37
In4 0.3152 0.9893 0.2750  4 Pr 3.25-3.59, 3 La 3.25-3.37

Symmetry: No. 15
Total energy in eV/atom: -4.6021

---

Entry 4:
Material: Sm2Ge3Rh2
Method: DFT, GGA-PBE
State: optimized geometry

a b c (Å): 4.1833 7.1419 9.3888
angles (deg): 90.00 102.87 90.00
Closest atoms and distances in Å follow each position.
Fractional coordinates of all 14 atoms:
Sm1 0.1591 0.2500 0.3181  6 Ge 3.02-3.03, 6 Rh 3.05-3.06
Sm2 0.8409 0.7500 0.6819  6 Ge 3.02-3.03, 6 Rh 3.05-3.06
Sm3 0.9432 0.2500 0.8864  9 Ge 3.03-3.30
Sm4 0.0568 0.7500 0.1136  9 Ge 3.03-3.30
Ge1 0.2222 0.7500 0.4443  6 Rh 2.59-2.63
Ge2 0.7778 0.2500 0.5557  6 Rh 2.59-2.63
Ge3 0.5632 0.4330 0.1263  2 Ge 2.50-2.61, 1 Rh 2.53
Ge4 0.4368 0.5670 0.8737  2 Ge 2.50-2.61, 1 Rh 2.53
Ge5 0.4368 0.9330 0.8737  2 Ge 2.50-2.61, 1 Rh 2.53
Ge6 0.5632 0.0670 0.1263  2 Ge 2.50-2.61, 1 Rh 2.53
Rh1 0.6938 0.9507 0.3876  4 Ge 2.53-2.63
Rh2 0.3062 0.0493 0.6124  4 Ge 2.53-2.63
Rh3 0.3062 0.4507 0.6124  4 Ge 2.53-2.63
Rh4 0.6938 0.5493 0.3876  4 Ge 2.53-2.63

Symmetry: No. 63
Offset from the most stable computed form in meV per atom: 0.0

---

Entry 5:
Material: SrErInSn
Method: DFT, GGA-PBE
State: optimized geometry

a b c (Å): 5.4979 5.4979 5.4979
angles (deg): 60.00 60.00 60.00
Closest atoms and distances in Å follow each position.
Fractional coordinates of all 4 atoms:
Sr1 0.5000 0.5000 0.5000  4 In 3.37, 4 Sn 3.37
In1 0.7500 0.7500 0.7500  4 Sr 3.37, 4 Er 3.37
Sn1 0.2500 0.2500 0.2500  4 Sr 3.37, 4 Er 3.37
Er1 0.0000 0.0000 0.0000  4 In 3.37, 4 Sn 3.37

Symmetry: No. 216
Total energy in eV/atom: -3.6764

---

Entry 6:
Material: HfV4Sb
Method: DFT, GGA-PBE
State: optimized geometry

a b c (Å): 5.1564 5.1564 5.1564
angles (deg): 60.00 60.00 60.00
Closest atoms and distances in Å follow each position.
Fractional coordinates of all 6 atoms:
Sb1 0.2500 0.2500 0.2500  12 V 3.03, 4 Hf 3.16
Hf1 0.0000 0.0000 0.0000  12 V 3.02, 4 Sb 3.16
V1 0.6269 0.6269 0.1194  6 V 2.54-2.62
V2 0.6269 0.1194 0.6269  6 V 2.54-2.62
V3 0.6269 0.6269 0.6269  6 V 2.54-2.62
V4 0.1194 0.6269 0.6269  6 V 2.54-2.62

Symmetry: No. 216
Formation energy without anion corrections in meV/atom: 22

---

Entry 7:
Material: Ag12Hg3S5
Method: DFT, GGA-PBE
State: optimized geometry

a b c (Å): 13.4045 13.4045 13.4045
angles (deg): 109.47 109.47 109.47
Closest atoms and distances in Å follow each position.
Fractional coordinates of all 80 atoms:
Hg1 0.7500 0.3750 0.1250  8 Ag 2.88-2.90
Hg2 0.8750 0.7500 0.1250  8 Ag 2.88-2.90
Hg3 0.3750 0.7500 0.6250  8 Ag 2.88-2.90
Hg4 0.2500 0.1250 0.3750  8 Ag 2.88-2.90
Hg5 0.8750 0.1250 0.2500  8 Ag 2.88-2.90
Hg6 0.3750 0.6250 0.2500  8 Ag 2.88-2.90
Hg7 0.6250 0.3750 0.7500  8 Ag 2.88-2.90
Hg8 0.1250 0.8750 0.7500  8 Ag 2.88-2.90
Hg9 0.7500 0.8750 0.6250  8 Ag 2.88-2.90
Hg10 0.6250 0.2500 0.3750  8 Ag 2.88-2.90
Hg11 0.1250 0.2500 0.8750  8 Ag 2.88-2.90
Hg12 0.2500 0.6250 0.8750  8 Ag 2.88-2.90
S1 0.1250 0.3750 0.2500  4 Ag 2.49
S2 0.0000 0.5000 0.0000  6 Ag 2.56
S3 0.0000 0.0000 0.0000  6 Ag 2.56
S4 0.3750 0.2500 0.1250  4 Ag 2.49
S5 0.5000 0.0000 0.5000  6 Ag 2.56
S6 0.5000 0.5000 0.0000  6 Ag 2.56
S7 0.1250 0.7500 0.3750  4 Ag 2.49
S8 0.7500 0.1250 0.8750  4 Ag 2.49
S9 0.7500 0.6250 0.3750  4 Ag 2.49
S10 0.3750 0.1250 0.7500  4 Ag 2.49
S11 0.6250 0.8750 0.2500  4 Ag 2.49
S12 0.5000 0.5000 0.5000  6 Ag 2.56
S13 0.5000 0.0000 0.0000  6 Ag 2.56
S14 0.0000 0.0000 0.5000  6 Ag 2.56
S15 0.2500 0.3750 0.6250  4 Ag 2.49
S16 0.2500 0.8750 0.1250  4 Ag 2.49
S17 0.0000 0.5000 0.5000  6 Ag 2.56
S18 0.8750 0.2500 0.6250  4 Ag 2.49
S19 0.6250 0.7500 0.8750  4 Ag 2.49
S20 0.8750 0.6250 0.7500  4 Ag 2.49
Ag1 0.7165 0.1315 0.0481  2 S 2.49-2.56
Ag2 0.3316 0.5481 0.4166  2 S 2.49-2.56
Ag3 0.9519 0.3685 0.2835  2 S 2.49-2.56
Ag4 0.5481 0.2165 0.1315  2 S 2.49-2.56
Ag5 0.5850 0.7165 0.6684  2 S 2.49-2.56
Ag6 0.9519 0.5834 0.1684  2 S 2.49-2.56
Ag7 0.3316 0.7835 0.4150  2 S 2.49-2.56
Ag8 0.0834 0.9150 0.1315  2 S 2.49-2.56
Ag9 0.5834 0.9519 0.6684  2 S 2.49-2.56
Ag10 0.7165 0.5850 0.1684  2 S 2.49-2.56
Ag11 0.7835 0.4519 0.3685  2 S 2.49-2.56
Ag12 0.8316 0.9166 0.0481  2 S 2.49-2.56
Ag13 0.1315 0.7165 0.5481  2 S 2.49-2.56
Ag14 0.3685 0.4166 0.0850  2 S 2.49-2.56
Ag15 0.0850 0.9166 0.3685  2 S 2.49-2.56
Ag16 0.4150 0.1315 0.5834  2 S 2.49-2.56
Ag17 0.0850 0.1684 0.2165  2 S 2.49-2.56
Ag18 0.4519 0.6684 0.0834  2 S 2.49-2.56
Ag19 0.8316 0.9150 0.2835  2 S 2.49-2.56
Ag20 0.1315 0.4150 0.0834  2 S 2.49-2.56
Ag21 0.3685 0.9519 0.7835  2 S 2.49-2.56
Ag22 0.5834 0.6315 0.4150  2 S 2.49-2.56
Ag23 0.9166 0.8316 0.5481  2 S 2.49-2.56
Ag24 0.7835 0.3316 0.9150  2 S 2.49-2.56
Ag25 0.4166 0.3685 0.5850  2 S 2.49-2.56
Ag26 0.0834 0.1684 0.4519  2 S 2.49-2.56
Ag27 0.2165 0.6684 0.0850  2 S 2.49-2.56
Ag28 0.1684 0.0850 0.7165  2 S 2.49-2.56
Ag29 0.6315 0.0481 0.2165  2 S 2.49-2.56
Ag30 0.8685 0.5850 0.9166  2 S 2.49-2.56
Ag31 0.5481 0.3316 0.9166  2 S 2.49-2.56
Ag32 0.5850 0.8685 0.4166  2 S 2.49-2.56
Ag33 0.9150 0.8316 0.7835  2 S 2.49-2.56
Ag34 0.9150 0.0834 0.6315  2 S 2.49-2.56
Ag35 0.8685 0.2835 0.4519  2 S 2.49-2.56
Ag36 0.1684 0.0834 0.9519  2 S 2.49-2.56
Ag37 0.6315 0.5834 0.9150  2 S 2.49-2.56
Ag38 0.4166 0.0481 0.3316  2 S 2.49-2.56
Ag39 0.2835 0.4150 0.8316  2 S 2.49-2.56
Ag40 0.2165 0.5481 0.6315  2 S 2.49-2.56
Ag41 0.9166 0.0850 0.8685  2 S 2.49-2.56
Ag42 0.6684 0.2165 0.5850  2 S 2.49-2.56
Ag43 0.4519 0.7835 0.8685  2 S 2.49-2.56
Ag44 0.0481 0.4166 0.8316  2 S 2.49-2.56
Ag45 0.4150 0.2835 0.3316  2 S 2.49-2.56
Ag46 0.0481 0.6315 0.7165  2 S 2.49-2.56
Ag47 0.6684 0.4519 0.5834  2 S 2.49-2.56
Ag48 0.2835 0.8685 0.9519  2 S 2.49-2.56

Symmetry: No. 230
Formation energy without anion corrections in meV/atom: 87

---

Entry 8:
Material: AcPm2Y5
Method: DFT, GGA-PBE
State: optimized geometry

a b c (Å): 5.1494 7.2819 14.5835
angles (deg): 90.00 90.00 90.00
Closest atoms and distances in Å follow each position.
Fractional coordinates of all 16 atoms:
Ac1 0.0000 0.0000 0.5000  8 Y 3.64-3.68, 4 Pm 3.68
Ac2 0.0000 0.5000 0.0000  8 Y 3.64-3.68, 4 Pm 3.68
Pm1 0.5000 0.2552 0.6279  10 Y 3.57-3.72, 2 Ac 3.68
Pm2 0.5000 0.7448 0.3721  10 Y 3.57-3.72, 2 Ac 3.68
Pm3 0.5000 0.2448 0.1279  10 Y 3.57-3.72, 2 Ac 3.68
Pm4 0.5000 0.7552 0.8721  10 Y 3.57-3.72, 2 Ac 3.68
Y1 0.0000 0.0000 0.0000  6 Y 3.61-3.66, 2 Ac 3.64, 4 Pm 3.65
Y2 0.0000 0.5000 0.5000  6 Y 3.61-3.66, 2 Ac 3.64, 4 Pm 3.65
Y3 0.0000 0.5033 0.7473  4 Pm 3.59-3.65, 7 Y 3.60-3.66, 1 Ac 3.68
Y4 0.0000 0.4967 0.2527  4 Pm 3.59-3.65, 7 Y 3.60-3.66, 1 Ac 3.68
Y5 0.0000 0.9967 0.2473  4 Pm 3.59-3.65, 7 Y 3.60-3.66, 1 Ac 3.68
Y6 0.0000 0.0033 0.7527  4 Pm 3.59-3.65, 7 Y 3.60-3.66, 1 Ac 3.68
Y7 0.5000 0.2501 0.8727  4 Pm 3.57-3.72, 6 Y 3.60-3.66, 2 Ac 3.66
Y8 0.5000 0.7499 0.1273  4 Pm 3.57-3.72, 6 Y 3.60-3.66, 2 Ac 3.66
Y9 0.5000 0.2499 0.3727  4 Pm 3.57-3.72, 6 Y 3.60-3.66, 2 Ac 3.66
Y10 0.5000 0.7501 0.6273  4 Pm 3.57-3.72, 6 Y 3.60-3.66, 2 Ac 3.66

Symmetry: No. 55
Offset from the most stable computed form in meV per atom: 8.2

---

In A^3/atom, the calculated volume values for the records above are, in order, 14.14; 17.69; 34.40; 19.53; 29.38; 16.16; 23.18; 34.18.